(1)
A plane-wave DFT calculation with GGA+U was carried out for a relaxed LiCrO3 crystal. Values from VASP.

Values from the calculation:
- Uncorrected energy: -30.65 eV for the cell shown

```
&SYSTEM
  ibrav = 0, nat = 5, ntyp = 3
/
ATOMIC_SPECIES
Cr 52.00 Cr.upf
O 16.00 O.upf
Li 6.94 Li.upf
ATOMIC_POSITIONS angstrom
Cr 0.0000 0.0000 0.0000
O 0.0000 1.8347 0.0000
O 0.0000 0.0000 1.8347
O 1.8347 0.0000 0.0000
Li 1.8347 1.8347 1.8347
CELL_PARAMETERS angstrom
3.6694 0.0000 0.0000
0.0000 3.6694 0.0000
0.0000 0.0000 3.6694
```



(2)
A plane-wave DFT calculation with GGA+U was carried out for a relaxed RbTeMo2O8 crystal. Values from VASP.

Values from the calculation:
- Uncorrected energy: -75.23 eV for the cell shown

```
&SYSTEM
  ibrav = 0, nat = 12, ntyp = 4
/
ATOMIC_SPECIES
Rb 85.47 Rb.upf
Te 127.60 Te.upf
Mo 95.94 Mo.upf
O 16.00 O.upf
ATOMIC_POSITIONS angstrom
Rb -2.4387 3.1126 1.5332
Te 0.0000 0.0000 0.0000
Mo -5.6534 -2.2768 1.7983
Mo -6.5231 2.7702 3.0733
O -7.9811 2.5917 1.9430
O -5.9970 -4.0934 1.5971
O -7.0506 -1.4856 2.4931
O -5.1259 1.9789 2.3784
O -6.1795 4.5868 3.2745
O -6.8779 2.0718 4.7531
O -5.2986 -1.5785 0.1185
O -4.1954 -2.0983 2.9286
CELL_PARAMETERS angstrom
-4.7473 -2.3486 -1.8937
-2.5518 -3.3832 3.6989
-4.8774 6.2251 3.0664
```



| no. | volume (Å³ per atom) |
| --- | --- |
| 1 | 9.882 |
| 2 | 20.323 |